[1]
First-principles (PBE) data for crystalline Pm3I2N2 at its relaxed geometry, as listed in Alexandria.

a = 3.698 Å, b = 6.361 Å, c = 8.388 Å
α = 99.17°, β = 89.98°, γ = 106.95°
Atoms (fractional coordinates):
Pm1 0.227 0.454 0.824
Pm2 0.000 0.000 0.000
Pm3 0.773 0.546 0.176
I1 0.884 0.767 0.631
I2 0.116 0.233 0.369
N1 0.363 0.726 0.053
N2 0.637 0.274 0.947

total DFT energy (no corrections) = -43.1 eV per cell
space group = P-1 (2)

[2]
First-principles (PBE) data for crystalline Pm2I2N at its relaxed geometry, as listed in Alexandria.

a = 4.080 Å, b = 7.919 Å, c = 11.595 Å
α = 96.11°, β = 100.13°, γ = 90.00°
Atoms (fractional coordinates):
I1 0.580 0.707 0.160
I2 0.892 0.807 0.784
I3 0.420 0.293 0.840
I4 0.108 0.193 0.216
Pm1 0.313 0.553 0.625
Pm2 0.180 0.850 0.361
Pm3 0.687 0.447 0.375
Pm4 0.820 0.150 0.639
N1 0.785 0.398 0.571
N2 0.215 0.602 0.429

space group = C2/m (12)
relative energy among the computed polymorphs = 0.035 eV/atom

[3]
First-principles (PBE) data for crystalline PmIN at its relaxed geometry, as listed in Alexandria.

a = 4.143 Å, b = 3.983 Å, c = 11.954 Å
α = 83.06°, β = 80.02°, γ = 58.66°
Atoms (fractional coordinates):
Pm1 0.178 0.019 0.626
Pm2 0.822 0.981 0.374
N1 0.548 0.353 0.552
N2 0.452 0.647 0.448
I1 0.749 0.687 0.815
I2 0.251 0.313 0.185

total DFT energy (no corrections) = -36.2 eV per cell
space group = C2/m (12)

[4]
First-principles (PBE) data for crystalline Pm4I5N2 at its relaxed geometry, as listed in Alexandria.

a = 3.921 Å, b = 8.803 Å, c = 10.014 Å
α = 102.43°, β = 101.29°, γ = 90.00°
Atoms (fractional coordinates):
I1 0.837 0.141 0.675
I2 0.500 0.000 0.000
I3 0.830 0.698 0.660
I4 0.170 0.302 0.340
I5 0.163 0.859 0.325
Pm1 0.653 0.576 0.306
Pm2 0.347 0.424 0.694
Pm3 0.999 0.317 0.999
Pm4 0.001 0.683 0.001
N1 0.536 0.516 0.071
N2 0.464 0.484 0.929

space group = C2/m (12)
relative energy among the computed polymorphs = 0.122 eV/atom

[5]
First-principles (PBE) data for crystalline Pm2I2N at its relaxed geometry, as listed in Alexandria.

a = 3.892 Å, b = 3.891 Å, c = 12.001 Å
α = 81.80°, β = 80.67°, γ = 59.99°
Atoms (fractional coordinates):
Pm1 0.291 0.805 0.612
Pm2 0.709 0.195 0.388
I1 0.445 0.909 0.200
I2 0.555 0.091 0.800
N1 0.000 0.500 0.500

space group = C2/m (12)
relative energy among the computed polymorphs = 0.000 eV/atom

[6]
First-principles (PBE) data for crystalline Pm2IN at its relaxed geometry, as listed in Alexandria.

a = 3.791 Å, b = 3.791 Å, c = 7.880 Å
α = 76.08°, β = 76.08°, γ = 60.00°
Atoms (fractional coordinates):
Pm1 0.278 0.278 0.167
Pm2 0.722 0.722 0.833
I1 0.500 0.500 0.500
N1 0.000 0.000 0.000

space group = R-3m (166)
relative energy among the computed polymorphs = 0.000 eV/atom

[7]
First-principles (PBE) data for crystalline Pm2IN at its relaxed geometry, as listed in Alexandria.

a = 3.783 Å, b = 3.783 Å, c = 8.166 Å
α = 90.06°, β = 90.06°, γ = 60.00°
Atoms (fractional coordinates):
Pm1 0.865 0.865 0.491
Pm2 0.532 0.532 0.175
I1 0.533 0.533 0.781
N1 0.199 0.199 0.325

space group = Cm (8)
relative energy among the computed polymorphs = 0.093 eV/atom

[8]
First-principles (PBE) data for crystalline PmPrIN at its relaxed geometry, as listed in Alexandria.

a = 3.807 Å, b = 3.812 Å, c = 7.982 Å
α = 89.97°, β = 103.82°, γ = 120.05°
Atoms (fractional coordinates):
Pr1 0.519 0.158 0.692
I1 0.965 0.380 0.360
N1 0.312 0.554 0.881
Pm1 0.082 0.939 0.036

total DFT energy (no corrections) = -24.2 eV per cell
space group = R3m (160)

[9]
First-principles (PBE) data for crystalline PmPr2I2N2 at its relaxed geometry, as listed in Alexandria.

a = 4.630 Å, b = 4.630 Å, c = 10.219 Å
α = 103.09°, β = 103.09°, γ = 90.00°
Atoms (fractional coordinates):
N1 0.000 0.500 0.000
N2 0.500 0.000 0.000
Pr1 0.422 0.422 0.844
Pr2 0.578 0.578 0.156
I1 0.834 0.834 0.667
I2 0.166 0.166 0.333
Pm1 0.000 0.000 0.000

total DFT energy (no corrections) = -41.7 eV per cell
space group = I4/mmm (139)

[10]
First-principles (PBE) data for crystalline Pm6Pt2I3N at its relaxed geometry, as listed in Alexandria.

a = 7.025 Å, b = 7.025 Å, c = 8.344 Å
α = 98.01°, β = 98.01°, γ = 119.89°
Atoms (fractional coordinates):
Pm1 0.762 0.762 0.185
Pm2 0.640 0.939 0.817
Pm3 0.238 0.238 0.815
Pm4 0.939 0.640 0.817
Pm5 0.360 0.061 0.183
Pm6 0.061 0.360 0.183
Pt1 0.666 0.334 0.000
Pt2 0.334 0.666 0.000
N1 0.000 0.000 0.000
I1 0.500 0.500 0.500
I2 0.831 0.169 0.500
I3 0.169 0.831 0.500

total DFT energy (no corrections) = -66.5 eV per cell
space group = C2/m (12)

[11]
First-principles (PBE) data for crystalline Pm8Rh3I3N at its relaxed geometry, as listed in Alexandria.

a = 8.113 Å, b = 8.122 Å, c = 9.342 Å
α = 115.77°, β = 89.96°, γ = 119.99°
Atoms (fractional coordinates):
Pm1 0.729 0.458 0.687
Pm2 0.247 0.036 0.325
Pm3 0.789 0.577 0.326
Pm4 0.753 0.964 0.675
Pm5 0.211 0.423 0.674
Pm6 0.789 0.036 0.325
Pm7 0.211 0.964 0.675
Pm8 0.271 0.542 0.313
Rh1 0.500 0.000 0.500
Rh2 0.000 0.500 0.500
Rh3 0.500 0.500 0.500
I1 0.500 0.500 0.000
I2 0.000 0.500 0.000
I3 0.000 0.000 0.000
N1 0.000 0.000 0.500

total DFT energy (no corrections) = -85.5 eV per cell
space group = C2/m (12)

[12]
First-principles (PBE) data for crystalline Pm6Rh2I3N at its relaxed geometry, as listed in Alexandria.

a = 7.019 Å, b = 7.019 Å, c = 8.317 Å
α = 97.99°, β = 97.99°, γ = 119.88°
Atoms (fractional coordinates):
I1 0.500 0.500 0.500
I2 0.167 0.833 0.500
I3 0.833 0.167 0.500
Pm1 0.746 0.746 0.177
Pm2 0.254 0.254 0.823
Pm3 0.942 0.631 0.824
Pm4 0.058 0.369 0.176
Pm5 0.369 0.058 0.176
Pm6 0.631 0.942 0.824
Rh1 0.667 0.333 0.000
Rh2 0.333 0.667 0.000
N1 0.000 0.000 0.000

total DFT energy (no corrections) = -68.0 eV per cell
space group = C2/m (12)

[13]
First-principles (PBE) data for crystalline Pm6Ru2I3N at its relaxed geometry, as listed in Alexandria.

a = 6.988 Å, b = 6.988 Å, c = 8.316 Å
α = 98.08°, β = 98.08°, γ = 119.82°
Atoms (fractional coordinates):
Ru1 0.333 0.667 0.000
Ru2 0.667 0.333 0.000
Pm1 0.745 0.745 0.177
Pm2 0.631 0.942 0.824
Pm3 0.369 0.058 0.176
Pm4 0.058 0.369 0.176
Pm5 0.255 0.255 0.823
Pm6 0.942 0.631 0.824
I1 0.831 0.169 0.500
I2 0.500 0.500 0.500
I3 0.169 0.831 0.500
N1 0.000 0.000 0.000

total DFT energy (no corrections) = -69.8 eV per cell
space group = C2/m (12)

[14]
First-principles (PBE) data for crystalline Pm2SeIN at its relaxed geometry, as listed in Alexandria.

a = 4.124 Å, b = 8.273 Å, c = 8.956 Å
α = 79.05°, β = 76.69°, γ = 75.57°
Atoms (fractional coordinates):
Se1 0.632 0.592 0.143
Se2 0.368 0.408 0.857
Pm1 0.588 0.129 0.695
Pm2 0.875 0.218 0.031
Pm3 0.412 0.871 0.305
Pm4 0.125 0.782 0.969
N1 0.060 0.056 0.825
N2 0.940 0.944 0.175
I1 0.823 0.750 0.604
I2 0.177 0.250 0.396

total DFT energy (no corrections) = -61.0 eV per cell
space group = C2/m (12)

[15]
First-principles (PBE) data for crystalline TbPmIN at its relaxed geometry, as listed in Alexandria.

a = 3.737 Å, b = 3.740 Å, c = 7.794 Å
α = 89.97°, β = 103.89°, γ = 120.04°
Atoms (fractional coordinates):
I1 0.962 0.379 0.357
Tb1 0.080 0.938 0.032
Pm1 0.518 0.157 0.690
N1 0.318 0.557 0.890

total DFT energy (no corrections) = -24.1 eV per cell
space group = R3m (160)

[16]
First-principles (PBE) data for crystalline Pm2YI2N2 at its relaxed geometry, as listed in Alexandria.

a = 4.484 Å, b = 4.484 Å, c = 10.288 Å
α = 102.59°, β = 102.59°, γ = 90.00°
Atoms (fractional coordinates):
N1 0.500 0.000 0.000
N2 0.000 0.500 0.000
I1 0.163 0.163 0.325
I2 0.837 0.837 0.675
Y1 0.000 0.000 0.000
Pm1 0.425 0.425 0.850
Pm2 0.575 0.575 0.150

total DFT energy (no corrections) = -44.3 eV per cell
space group = I4/mmm (139)

[17]
First-principles (PBE) data for crystalline Pr12I3N5 at its relaxed geometry, as listed in Alexandria.

a = 14.249 Å, b = 14.249 Å, c = 14.249 Å
α = 109.47°, β = 109.47°, γ = 109.47°
Atoms (fractional coordinates):
N1 0.250 0.875 0.125
N2 0.000 0.500 0.500
N3 0.375 0.125 0.750
N4 0.875 0.625 0.750
N5 0.750 0.125 0.875
N6 0.500 0.500 0.000
N7 0.500 0.000 0.000
N8 0.000 0.000 0.500
N9 0.375 0.250 0.125
N10 0.625 0.750 0.875
N11 0.625 0.875 0.250
N12 0.125 0.750 0.375
N13 0.500 0.000 0.500
N14 0.125 0.375 0.250
N15 0.500 0.500 0.500
N16 0.250 0.375 0.625
N17 0.875 0.250 0.625
N18 0.750 0.625 0.375
N19 0.000 0.500 0.000
N20 0.000 0.000 0.000
Pr1 0.195 0.687 0.089
Pr2 0.695 0.589 0.187
Pr3 0.008 0.401 0.813
Pr4 0.813 0.901 0.008
Pr5 0.401 0.394 0.589
Pr6 0.992 0.394 0.305
Pr7 0.394 0.401 0.089
Pr8 0.195 0.508 0.606
Pr9 0.313 0.508 0.401
Pr10 0.508 0.313 0.901
Pr11 0.805 0.492 0.394
Pr12 0.901 0.089 0.894
Pr13 0.089 0.901 0.394
Pr14 0.894 0.589 0.901
Pr15 0.187 0.099 0.992
Pr16 0.687 0.492 0.599
Pr17 0.106 0.695 0.508
Pr18 0.099 0.187 0.492
Pr19 0.099 0.911 0.106
Pr20 0.606 0.599 0.911
Pr21 0.911 0.813 0.805
Pr22 0.411 0.305 0.313
Pr23 0.401 0.008 0.313
Pr24 0.313 0.805 0.411
Pr25 0.394 0.992 0.805
Pr26 0.599 0.992 0.687
Pr27 0.813 0.911 0.305
Pr28 0.305 0.894 0.992
Pr29 0.687 0.195 0.589
Pr30 0.911 0.099 0.606
Pr31 0.492 0.687 0.099
Pr32 0.894 0.305 0.492
Pr33 0.305 0.411 0.813
Pr34 0.411 0.106 0.599
Pr35 0.589 0.695 0.687
Pr36 0.508 0.195 0.106
Pr37 0.492 0.805 0.894
Pr38 0.599 0.606 0.411
Pr39 0.589 0.894 0.401
Pr40 0.089 0.187 0.195
Pr41 0.106 0.411 0.099
Pr42 0.008 0.606 0.695
Pr43 0.901 0.813 0.508
Pr44 0.606 0.008 0.195
Pr45 0.695 0.106 0.008
Pr46 0.992 0.599 0.187
Pr47 0.187 0.089 0.695
Pr48 0.805 0.313 0.911
I1 0.375 0.625 0.250
I2 0.875 0.125 0.250
I3 0.625 0.375 0.750
I4 0.750 0.875 0.625
I5 0.625 0.250 0.375
I6 0.375 0.750 0.625
I7 0.250 0.625 0.875
I8 0.875 0.750 0.125
I9 0.125 0.875 0.750
I10 0.750 0.375 0.125
I11 0.250 0.125 0.375
I12 0.125 0.250 0.875

total DFT energy (no corrections) = -474.0 eV per cell
space group = Ia-3d (230)

[18]
First-principles (PBE) data for crystalline Pr4I5N at its relaxed geometry, as listed in Alexandria.

a = 4.085 Å, b = 8.901 Å, c = 9.918 Å
α = 102.50°, β = 101.88°, γ = 90.00°
Atoms (fractional coordinates):
N1 0.500 0.000 0.000
Pr1 0.001 0.807 0.003
Pr2 0.631 0.064 0.261
Pr3 0.369 0.936 0.739
Pr4 0.999 0.193 0.997
I1 0.170 0.818 0.340
I2 0.500 0.500 0.000
I3 0.164 0.344 0.328
I4 0.830 0.182 0.660
I5 0.836 0.656 0.672

total DFT energy (no corrections) = -48.3 eV per cell
space group = C2/m (12)

[19]
First-principles (PBE) data for crystalline Pr7I12N at its relaxed geometry, as listed in Alexandria.

a = 9.861 Å, b = 9.861 Å, c = 9.861 Å
α = 107.85°, β = 107.85°, γ = 107.85°
Atoms (fractional coordinates):
I1 0.687 0.229 0.079
I2 0.921 0.313 0.771
I3 0.148 0.387 0.470
I4 0.229 0.079 0.687
I5 0.079 0.687 0.229
I6 0.387 0.470 0.148
I7 0.530 0.852 0.613
I8 0.771 0.921 0.313
I9 0.852 0.613 0.530
I10 0.313 0.771 0.921
I11 0.470 0.148 0.387
I12 0.613 0.530 0.852
N1 0.000 0.000 0.000
Pr1 0.031 0.289 0.098
Pr2 0.711 0.902 0.969
Pr3 0.098 0.031 0.289
Pr4 0.969 0.711 0.902
Pr5 0.289 0.098 0.031
Pr6 0.500 0.500 0.500
Pr7 0.902 0.969 0.711

total DFT energy (no corrections) = -87.0 eV per cell
space group = R-3 (148)